A geometry-optimized Li3PrY2Te6 structure. Source: Alexandria, functional GGA-PBE.

abc: 7.613 7.613 7.518
angles: 99.72 99.72 120.01
Sites, in units of the cell vectors:
Li: 0.000 0.000 0.000
Li: 0.334 0.666 0.000
Li: 0.666 0.334 0.000
Pr: 0.500 0.500 0.500
Y: 0.167 0.833 0.500
Y: 0.833 0.167 0.500
Te: 0.072 0.414 0.242
Te: 0.244 0.244 0.759
Te: 0.414 0.072 0.242
Te: 0.586 0.928 0.758
Te: 0.756 0.756 0.241
Te: 0.928 0.586 0.758

Values from the calculation:
Total magnetic moment   0.000 μB/f.u.
Raw formation energy   -1301 meV/atom
Uncorrected energy   -57.91 eV for the cell shown
Space-group type   C2/m (12)